# 1
# Dy2Zn3Ag6

A geometry-optimized Dy2Zn3Ag6 structure (PBE, Alexandria).

## Properties
* total magnetization: 0.000 Bohr magnetons per cell
* formation enthalpy at 0 K: -1.5 eV/f.u.

Cell: 4.396 7.658 7.658 Å, 120.00 90.00 90.00°
Fractional coordinates of all 11 atoms:
Dy (0.000, 0.333, 0.667)
Dy (0.000, 0.667, 0.333)
Ag (0.500, 0.266, 0.000)
Ag (0.500, 0.000, 0.266)
Ag (0.000, 0.216, 0.216)
Ag (0.000, 0.000, 0.784)
Ag (0.000, 0.784, 0.000)
Ag (0.500, 0.734, 0.734)
Zn (0.500, 0.000, 0.598)
Zn (0.500, 0.402, 0.402)
Zn (0.500, 0.598, 0.000)

***

# 2
# Dy2ZnAg2

A geometry-optimized Dy2ZnAg2 structure (PBE, Alexandria).

## Properties
* total magnetization: 0.000 Bohr magnetons per cell
* formation enthalpy at 0 K: -1.3 eV/f.u.
* energy relative to the lowest polymorph listed for this composition: 30 meV/atom

Cell: 3.437 4.488 7.630 Å, 72.89 90.00 90.00°
Fractional coordinates of all 5 atoms:
Dy (0.500, 0.384, 0.233)
Dy (0.500, 0.616, 0.767)
Ag (0.000, 0.806, 0.387)
Ag (0.000, 0.194, 0.613)
Zn (0.000, 0.000, 0.000)

***

# 3
# DyZn2Ag5

A geometry-optimized DyZn2Ag5 structure (PBE, Alexandria).

## Properties
* total magnetization: 0.000 Bohr magnetons per cell
* formation enthalpy at 0 K: -0.9 eV/f.u.

Cell: 3.516 6.910 6.910 Å, 73.19 75.26 75.26°
Fractional coordinates of all 8 atoms:
Ag (0.000, 0.500, 0.500)
Ag (0.362, 0.426, 0.850)
Ag (0.638, 0.150, 0.574)
Ag (0.362, 0.850, 0.426)
Ag (0.638, 0.574, 0.150)
Zn (0.258, 0.242, 0.242)
Zn (0.742, 0.758, 0.758)
Dy (0.000, 0.000, 0.000)

***

# 4
# DyZn12Ag6

A geometry-optimized DyZn12Ag6 structure (PBE, Alexandria).

## Properties
* total magnetization: 0.000 Bohr magnetons per cell
* formation enthalpy at 0 K: 0.0 eV/f.u.

Cell: 7.288 7.288 7.288 Å, 104.73 104.73 104.73°
Fractional coordinates of all 19 atoms:
Ag (0.704, 0.290, 0.704)
Ag (0.710, 0.296, 0.296)
Ag (0.296, 0.710, 0.296)
Ag (0.290, 0.704, 0.704)
Ag (0.296, 0.296, 0.710)
Ag (0.704, 0.704, 0.290)
Zn (0.892, 0.108, 0.500)
Zn (0.370, 0.370, 0.125)
Zn (0.125, 0.370, 0.370)
Zn (0.630, 0.630, 0.875)
Zn (0.630, 0.875, 0.630)
Zn (0.500, 0.108, 0.892)
Zn (0.108, 0.892, 0.500)
Zn (0.875, 0.630, 0.630)
Zn (0.892, 0.500, 0.108)
Zn (0.370, 0.125, 0.370)
Zn (0.108, 0.500, 0.892)
Zn (0.500, 0.892, 0.108)
Dy (0.000, 0.000, 0.000)